VASP calculation (PBE-GGA) on a relaxed structure of Li6In4F19.

crystal system = cubic
DFT total energy = -4.54 eV/atom
density of states at the Fermi level = 50.5 states/eV/cell

Cell and atoms, written as CIF:
```
data_Li6In4F19
_symmetry_space_group_name_H-M 'I 2 3'
_symmetry_Int_Tables_number 197
_symmetry_space_group_name_Hall 'I 2 2 3'
_cell_length_a 9.029
_cell_length_b 9.029
_cell_length_c 9.029
_cell_angle_alpha 90.00
_cell_angle_beta 90.00
_cell_angle_gamma 90.00
loop_
_atom_site_label
_atom_site_type_symbol
_atom_site_fract_x
_atom_site_fract_y
_atom_site_fract_z
_atom_site_occupancy
Li1 Li 0.000 0.257 0.500 1
In1 In 0.147 0.147 0.853 1
F1 F 0.000 0.000 0.000 1
F2 F 0.000 0.000 0.273 1
F3 F 0.067 0.305 0.698 1
```

=====

VASP calculation (PBE-GGA) on a relaxed structure of Cs2In2Ir.

ΔE to the lowest computed polymorph = 0 meV per atom
crystal system = tetragonal
DFT total energy = -2.53 eV/atom
energy of formation from the pure elements = 329 kJ/mol of formula units
density of states at the Fermi level = 15.4 states/eV/cell

Cell and atoms, written as CIF:
```
data_Cs2In2Ir
_symmetry_space_group_name_H-M 'I 4/m m m'
_symmetry_Int_Tables_number 139
_symmetry_space_group_name_Hall '-I 4 2'
_cell_length_a 4.196
_cell_length_b 4.196
_cell_length_c 23.923
_cell_angle_alpha 90.00
_cell_angle_beta 90.00
_cell_angle_gamma 90.00
loop_
_atom_site_label
_atom_site_type_symbol
_atom_site_fract_x
_atom_site_fract_y
_atom_site_fract_z
_atom_site_occupancy
Cs1 Cs 0.000 0.000 0.085 1
In1 In 0.000 0.500 0.250 1
Ir1 Ir 0.000 0.000 0.500 1
```

=====

Which formula does entry 1 have?
Li6In4F19